Version one
A geometry-optimized Cu2OsBr structure. Source: Alexandria via LeMat-Bulk, functional PBE-GGA.

a = 4.630 Å, b = 2.885 Å, c = 4.672 Å
α = 90.00°, β = 107.15°, γ = 90.00°
Space group P2/m (No. 10)
Inequivalent atoms, fractional coordinates:
Cu 0.000 0.000 0.000 x1
Cu 0.500 0.500 0.000 x1
Os 0.000 0.500 0.500 x1
Br 0.500 0.000 0.500 x1

Output
- magnetic moment (μB per atom) = 0.000
- density (g/cm3) = 11.1

***

Version two
A geometry-optimized Cu2OsBr structure. Source: Alexandria via LeMat-Bulk, functional PBE-GGA.

a = 2.890 Å, b = 4.607 Å, c = 9.097 Å
α = 90.00°, β = 90.00°, γ = 90.00°
Space group Immm (No. 71)
Inequivalent atoms, fractional coordinates:
Cu 0.000 0.000 0.244 x4
Os 0.000 0.500 0.500 x2
Br 0.000 0.500 0.000 x2

Output
- magnetic moment (μB per atom) = 0.000
- density (g/cm3) = 10.9

***

Stability, lowest: version two

***

Version one
A geometry-optimized Cu3OsBr structure. Source: Alexandria via LeMat-Bulk, functional PBE-GGA.

a = 4.746 Å, b = 4.746 Å, c = 4.746 Å
α = 90.00°, β = 90.00°, γ = 90.00°
Space group Pm-3m (No. 221)
Inequivalent atoms, fractional coordinates:
Cu 0.000 0.000 0.500 x3
Os 0.000 0.000 0.000 x1
Br 0.500 0.500 0.500 x1

Output
- magnetic moment (μB per atom) = 0.367
- density (g/cm3) = 7.2

***

Version two
A geometry-optimized Cu3OsBr structure. Source: Alexandria via LeMat-Bulk, functional PBE-GGA.

a = 4.505 Å, b = 4.505 Å, c = 4.505 Å
α = 90.00°, β = 90.00°, γ = 90.00°
Space group Pm-3m (No. 221)
Inequivalent atoms, fractional coordinates:
Cu 0.000 0.000 0.500 x3
Os 0.500 0.500 0.500 x1
Br 0.000 0.000 0.000 x1

Output
- magnetic moment (μB per atom) = 0.426
- density (g/cm3) = 8.4

***

Stability, lowest: version two